Crystalline PrDyCuIr at its relaxed geometry, computed with PBE.

It has space group F-43m (No. 216), with a = 7.043 Å, b = 7.043 Å, c = 7.043 Å, α = 90.00°, β = 90.00° and γ = 90.00°. The asymmetric unit holds Pr at (0.000, 0.000, 0.000), Dy at (0.000, 0.000, 0.500), Cu at (0.250, 0.250, 0.750) and Ir at (0.250, 0.250, 0.250).

The electronic total energy is -6.049 eV per atom. Its energy above the lowest structure with this stoichiometry is 0.035 eV/atom.